Density functional theory data (PBEsol) for crystalline TlTcAu2I at its relaxed geometry.

Properties
ΔE_f (raw) = 1.319 eV/atom
space-group type = P4/mmm (123)

a = 4.955 Å, b = 5.257 Å, c = 5.257 Å
α = 90.00°, β = 90.00°, γ = 90.00°
Atoms (fractional coordinates):
Au1 0.000 0.000 0.500
I1 0.000 0.000 0.000
Au2 0.000 0.500 0.000
Tl1 0.500 0.500 0.500
Tc1 0.500 0.000 0.000